Ac3InPd3, optimized geometry, DFT PBE; mass density = 8.1 g/cm³; polymorph energy (0 for the lowest one) = 0.82 eV/f.u.; calculated volume = 32.62 Å³/atom; energy = -4.995 eV/atom
1.0
6.0930 0.0000 0.0000
0.0000 9.3024 0.0000
0.0000 -4.6512 8.0561
Pd In Ac
6 2 6
Direct
0.2500 0.9501 0.3149
0.2500 0.6851 0.6352
0.7500 0.0499 0.6851
0.7500 0.6352 0.9501
0.2500 0.3648 0.0499
0.7500 0.3149 0.3648
0.7500 0.3333 0.6667
0.2500 0.6667 0.3333
0.7500 0.9480 0.3051
0.2500 0.3051 0.3570
0.2500 0.6430 0.9480
0.7500 0.3570 0.0520
0.2500 0.0520 0.6949
0.7500 0.6949 0.6430